# 1
DFT (PBE) results for an optimized crystal structure of RbTcPt.

The structure belongs to space group Pnma (No. 62); the cell edges are 12.870, 5.144 and 4.611 Å and the angles 90.00°, 90.00° and 90.00°. The asymmetric unit holds Rb at (0.225, 0.250, 0.002), Tc at (0.000, 0.000, 0.500) and Pt at (0.027, 0.750, 0.000).

The calculation puts the calculated total energy at -5.375 eV/atom. The relative energy among the computed polymorphs is 0.2505 eV/atom. The formation enthalpy at 0 K is 416 meV/atom.



# 2
DFT (PBE) results for an optimized crystal structure of RbTcPt.

The structure belongs to space group Cm (No. 8); the cell edges are 7.353, 4.244 and 12.343 Å and the angles 90.00°, 101.09° and 90.00°. The asymmetric unit holds Rb at (0.000, 0.000, 0.000), Rb at (0.195, 0.000, 0.605), Tc at (0.097, 0.000, 0.302), Tc at (0.264, 0.500, 0.302), Pt at (0.394, 0.000, 0.190) and Pt at (0.467, 0.000, 0.415).

The calculation puts the calculated total energy at -5.625 eV/atom. The relative energy among the computed polymorphs is 0.0008 eV/atom. The formation enthalpy at 0 K is 166 meV/atom.



# 3
DFT (PBE) results for an optimized crystal structure of Rb2TcPt.

The structure belongs to space group Fm-3m (No. 225); the cell edges are 8.066, 8.066 and 8.066 Å and the angles 90.00°, 90.00° and 90.00°. The asymmetric unit holds Rb at (0.250, 0.250, 0.250), Tc at (0.000, 0.000, 0.000) and Pt at (0.000, 0.000, 0.500).

The calculation puts the calculated total energy at -3.142 eV/atom. The relative energy among the computed polymorphs is 0.5949 eV/atom. The formation enthalpy at 0 K is 1443 meV/atom.



# 4
DFT (PBE) results for an optimized crystal structure of RbTc2PtW.

The structure belongs to space group P4/mmm (No. 123); the cell edges are 4.749, 4.749 and 5.771 Å and the angles 90.00°, 90.00° and 90.00°. The asymmetric unit holds Rb at (0.000, 0.000, 0.000), Tc at (0.000, 0.500, 0.500), Pt at (0.500, 0.500, 0.000) and W at (0.000, 0.000, 0.500).

The calculation puts the calculated total energy at -5.999 eV/atom. The formation enthalpy at 0 K is 2139 meV/atom.



# 5
DFT (PBE) results for an optimized crystal structure of RbTe3Pt.

The structure belongs to space group Pm-3m (No. 221); the cell edges are 6.091, 6.091 and 6.091 Å and the angles 90.00°, 90.00° and 90.00°. The asymmetric unit holds Rb at (0.000, 0.000, 0.000), Te at (0.000, 0.000, 0.500) and Pt at (0.500, 0.500, 0.500).

The calculation puts the calculated total energy at -1.597 eV/atom. As for the formation energy without anion corrections: 1.689 eV/atom.



# 6
DFT (PBE) results for an optimized crystal structure of RbTePt3.

The structure belongs to space group Pm-3m (No. 221); the cell edges are 5.111, 5.111 and 5.111 Å and the angles 90.00°, 90.00° and 90.00°. The asymmetric unit holds Rb at (0.000, 0.000, 0.000), Te at (0.500, 0.500, 0.500) and Pt at (0.000, 0.500, 0.500).

The calculation puts the calculated total energy at -4.145 eV/atom. The relative energy among the computed polymorphs is 0.0000 eV/atom. As for the formation energy without anion corrections: 0.302 eV/atom.



# 7
DFT (PBE) results for an optimized crystal structure of RbTePt.

The structure belongs to space group P-6m2 (No. 187); the cell edges are 4.5057, 4.5057 and 5.6048 Å and the angles 90.00°, 90.00° and 120.00°. The asymmetric unit holds Rb at (0.0000, 0.0000, 0.0000), Te at (0.6667, 0.3333, 0.5000) and Pt at (0.3333, 0.6667, 0.5000).

The calculation puts the calculated total energy at -3.962 eV/atom. As for the formation energy without anion corrections: -0.579 eV/atom.



# 8
DFT (PBE) results for an optimized crystal structure of Rb2Te3Pt.

The structure belongs to space group Cmc2_1 (No. 36); the cell edges are 14.540, 9.402 and 7.264 Å and the angles 90.00°, 90.00° and 90.00°. The asymmetric unit holds Rb at (0.145, 0.163, 0.000), Te at (0.000, 0.157, 0.577), Te at (0.124, 0.456, 0.335) and Pt at (0.000, 0.441, 0.604).

The calculation puts the calculated total energy at -3.476 eV/atom. As for the formation energy without anion corrections: -0.576 eV/atom.



# 9
DFT (PBE) results for an optimized crystal structure of Rb2TePt.

The structure belongs to space group I-42d (No. 122); the cell edges are 12.989, 12.989 and 5.131 Å and the angles 90.00°, 90.00° and 90.00°. The asymmetric unit holds Rb at (0.025, 0.250, 0.125), Te at (0.000, 0.000, 0.500) and Pt at (0.000, 0.000, 0.000).

The calculation puts the calculated total energy at -3.220 eV/atom. As for the formation energy without anion corrections: -0.441 eV/atom.



# 10
DFT (PBE) results for an optimized crystal structure of Rb2Te2Pt.

The structure belongs to space group I4_1/amd (No. 141, origin choice 2); the cell edges are 4.884, 4.884 and 31.928 Å and the angles 90.00°, 90.00° and 90.00°. The asymmetric unit holds Rb at (0.000, 0.250, 0.048), Te at (0.000, 0.250, 0.162) and Pt at (0.000, 0.250, 0.375).

The calculation puts the calculated total energy at -3.383 eV/atom. As for the formation energy without anion corrections: -0.531 eV/atom.



# 11
DFT (PBE) results for an optimized crystal structure of RbTePt3.

The structure belongs to space group Pm-3m (No. 221); the cell edges are 5.112, 5.112 and 5.112 Å and the angles 90.00°, 90.00° and 90.00°. The asymmetric unit holds Rb at (0.000, 0.000, 0.000), Te at (0.500, 0.500, 0.500) and Pt at (0.000, 0.000, 0.500).

The calculation puts the calculated total energy at -2.406 eV/atom. The relative energy among the computed polymorphs is 1.7390 eV/atom. As for the formation energy without anion corrections: 2.041 eV/atom.



# 12
DFT (PBE) results for an optimized crystal structure of RbTe3Pt.

The structure belongs to space group Pm-3m (No. 221); the cell edges are 5.478, 5.478 and 5.478 Å and the angles 90.00°, 90.00° and 90.00°. The asymmetric unit holds Rb at (0.000, 0.000, 0.000), Te at (0.000, 0.500, 0.500) and Pt at (0.500, 0.500, 0.500).

The calculation puts the calculated total energy at -3.474 eV/atom. As for the formation energy without anion corrections: -0.188 eV/atom.